Run P
A plane-wave DFT calculation with PBE+U was carried out for a relaxed structure of NaMo4O6.

a = 10.0298 Å, b = 10.0298 Å, c = 3.2640 Å
α = 90.00°, β = 90.00°, γ = 90.00°
Fractional positions:
Mo (0.1165, 0.3835, 0.5000)
Mo (0.6532, 0.8468, 0.0000)
Mo (0.3468, 0.1532, 0.0000)
Mo (0.1532, 0.6532, 0.0000)
Mo (0.8468, 0.3468, 0.0000)
Mo (0.3835, 0.8835, 0.5000)
Mo (0.8835, 0.6165, 0.5000)
Mo (0.6165, 0.1165, 0.5000)
O (0.7533, 0.4513, 0.5000)
O (0.4513, 0.2467, 0.5000)
O (0.5487, 0.7533, 0.5000)
O (0.7467, 0.9513, 0.5000)
O (0.2966, 0.7966, 0.0000)
O (0.2034, 0.2966, 0.0000)
O (0.9513, 0.2533, 0.5000)
O (0.7966, 0.7034, 0.0000)
O (0.7034, 0.2034, 0.0000)
O (0.0487, 0.7467, 0.5000)
O (0.2467, 0.5487, 0.5000)
O (0.2533, 0.0487, 0.5000)
Na (0.0000, 0.0000, 0.0000)
Na (0.5000, 0.5000, 0.0000)

Properties
symmetry = P4/mbm, No. 127
calculated density = 5.1 g/cm³
size of the total moment = 22.000 Bohr magnetons per cell
calculated volume = 164.2 Å³/f.u.



Run Q
A plane-wave DFT calculation with PBE+U was carried out for a relaxed structure of NaMo4O6.

a = 8.8372 Å, b = 8.8372 Å, c = 3.8097 Å
α = 90.00°, β = 90.00°, γ = 90.00°
Fractional positions:
Mo (0.1101, 0.3899, 0.0000)
Mo (0.8899, 0.6101, 0.0000)
Mo (0.2819, 0.2181, 0.5000)
Mo (0.2181, 0.7181, 0.5000)
Mo (0.7181, 0.7819, 0.5000)
Mo (0.6101, 0.1101, 0.0000)
Mo (0.3899, 0.8899, 0.0000)
Mo (0.7819, 0.2819, 0.5000)
O (0.2558, 0.9618, 0.5000)
O (0.6666, 0.8334, 0.0000)
O (0.5382, 0.2442, 0.5000)
O (0.1666, 0.6666, 0.0000)
O (0.4618, 0.7558, 0.5000)
O (0.3334, 0.1666, 0.0000)
O (0.0382, 0.2558, 0.5000)
O (0.7558, 0.5382, 0.5000)
O (0.2442, 0.4618, 0.5000)
O (0.9618, 0.7442, 0.5000)
O (0.7442, 0.0382, 0.5000)
O (0.8334, 0.3334, 0.0000)
Na (0.0000, 0.0000, 0.0000)
Na (0.5000, 0.5000, 0.0000)

Properties
symmetry = P4/mbm, No. 127
calculated density = 5.6 g/cm³
size of the total moment = 22.100 Bohr magnetons per cell
calculated volume = 148.8 Å³/f.u.



Verdict on stability: run Q comes out at the bottom.



Run P
A plane-wave DFT calculation with PBE+U was carried out for a relaxed structure of Na2Mo2O7.

a = 5.6291 Å, b = 5.9254 Å, c = 5.9254 Å
α = 111.05°, β = 96.70°, γ = 96.70°
Fractional positions:
Na (0.5000, 0.6850, 0.3150)
Na (0.5000, 0.3150, 0.6850)
Mo (0.8912, 0.2514, 0.2514)
Mo (0.1088, 0.7486, 0.7486)
O (0.7153, 0.3762, 0.0742)
O (0.0000, 0.0000, 0.0000)
O (0.8082, 0.5707, 0.5707)
O (0.1918, 0.4293, 0.4293)
O (0.2847, 0.9258, 0.6238)
O (0.7153, 0.0742, 0.3762)
O (0.2847, 0.6238, 0.9258)

Properties
symmetry = C2/m, No. 12
calculated density = 3.2 g/cm³
size of the total moment = 0.000 Bohr magnetons per cell
calculated volume = 180.5 Å³/f.u.



Run Q
A plane-wave DFT calculation with PBE+U was carried out for a relaxed structure of Na2Mo2O7.

a = 7.0553 Å, b = 7.0553 Å, c = 15.0603 Å
α = 90.00°, β = 90.00°, γ = 117.55°
Fractional positions:
O (0.5660, 0.0308, 0.8444)
O (0.6232, 0.3768, 0.9686)
O (0.1229, 0.8771, 0.2823)
O (0.4340, 0.9692, 0.1556)
O (0.0660, 0.5308, 0.6556)
O (0.8768, 0.1232, 0.4686)
O (0.8771, 0.1229, 0.7177)
O (0.9692, 0.4340, 0.8444)
O (0.6229, 0.3771, 0.2177)
O (0.7937, 0.8065, 0.1625)
O (0.0308, 0.5660, 0.1556)
O (0.1232, 0.8768, 0.5314)
O (0.1402, 0.8598, 0.0030)
O (0.2937, 0.3065, 0.3375)
O (0.5308, 0.0660, 0.3444)
O (0.3771, 0.6229, 0.7823)
O (0.8598, 0.1402, 0.9970)
O (0.6402, 0.3598, 0.4970)
O (0.4692, 0.9340, 0.6556)
O (0.9340, 0.4692, 0.3444)
O (0.2063, 0.1935, 0.8375)
O (0.8065, 0.7937, 0.8375)
O (0.1935, 0.2063, 0.1625)
O (0.3768, 0.6232, 0.0314)
O (0.3598, 0.6402, 0.5030)
O (0.7063, 0.6935, 0.6625)
O (0.6935, 0.7063, 0.3375)
O (0.3065, 0.2937, 0.6625)
Na (0.8229, 0.1771, 0.1533)
Na (0.7484, 0.7484, 0.5000)
Na (0.6771, 0.3229, 0.6533)
Na (0.1771, 0.8229, 0.8467)
Na (0.7516, 0.7516, 0.0000)
Na (0.3229, 0.6771, 0.3467)
Na (0.2516, 0.2516, 0.5000)
Na (0.2484, 0.2484, 0.0000)
Mo (0.6653, 0.8347, 0.7500)
Mo (0.7470, 0.2530, 0.4143)
Mo (0.2470, 0.7530, 0.0857)
Mo (0.8347, 0.6653, 0.2500)
Mo (0.3347, 0.1653, 0.2500)
Mo (0.7530, 0.2470, 0.9143)
Mo (0.2530, 0.7470, 0.5857)
Mo (0.1653, 0.3347, 0.7500)

Properties
symmetry = Cmce, No. 64
calculated density = 3.5 g/cm³
size of the total moment = 0.001 Bohr magnetons per cell
calculated volume = 166.2 Å³/f.u.



Verdict on stability: run P comes out at the bottom.